Record 1
Si5Os3 | PBE | relaxed

Summary:
DOS(E_F) = 10.98 states/eV per cell
Magnetization = 0.0 μB per formula unit
E = -247.80 eV for the cell shown
Uncorrected formation energy = -0.1434 eV per atom

Structure (CIF):
```
data_Si5Os3
_chemical_formula_sum 'Si20 Os12'
_cell_length_a 6.186
_cell_length_b 12.294
_cell_length_c 6.824
_cell_angle_alpha 90.00
_cell_angle_beta 116.61
_cell_angle_gamma 90.00
_symmetry_space_group_name_H-M 'C 1 m 1'
_symmetry_Int_Tables_number 8
_symmetry_space_group_name_Hall 'C -2y'
loop_
_atom_site_label
_atom_site_type_symbol
_atom_site_fract_x
_atom_site_fract_y
_atom_site_fract_z
_atom_site_occupancy
Si1 Si 0.000 0.000 0.000 1
Si2 Si 0.003 0.177 0.795 1
Si3 Si 0.006 0.500 0.001 1
Si4 Si 0.209 0.178 0.209 1
Si5 Si 0.283 0.397 0.360 1
Si6 Si 0.429 0.103 0.645 1
Os1 Os 0.093 0.000 0.678 1
Os2 Os 0.113 0.249 0.503 1
Os3 Os 0.253 0.338 0.001 1
Os4 Os 0.411 0.000 0.322 1
```

Record 2
SiOs2 | PBE | relaxed

Summary:
DOS(E_F) = 5.40 states/eV per cell
Magnetization = 0.0 μB per formula unit
E = -113.83 eV for the cell shown
Uncorrected formation energy = -0.1920 eV per atom

Structure (CIF):
```
data_SiOs2
_chemical_formula_sum 'Si4 Os8'
_cell_length_a 10.251
_cell_length_b 2.876
_cell_length_c 5.704
_cell_angle_alpha 90.00
_cell_angle_beta 104.48
_cell_angle_gamma 90.00
_symmetry_space_group_name_H-M 'C 1 2/m 1'
_symmetry_Int_Tables_number 12
_symmetry_space_group_name_Hall '-C 2y'
loop_
_atom_site_label
_atom_site_type_symbol
_atom_site_fract_x
_atom_site_fract_y
_atom_site_fract_z
_atom_site_occupancy
Si1 Si 0.147 0.000 0.045 1
Os1 Os 0.031 0.500 0.276 1
Os2 Os 0.190 0.000 0.648 1
```

Record 3
SiOs3 | PBE | relaxed

Summary:
DOS(E_F) = 11.67 states/eV per cell
Magnetization = 0.0 μB per formula unit
E = -72.60 eV for the cell shown
Uncorrected formation energy = 0.7037 eV per atom

Structure (CIF):
```
data_SiOs3
_chemical_formula_sum 'Si2 Os6'
_cell_length_a 4.863
_cell_length_b 4.863
_cell_length_c 4.863
_cell_angle_alpha 90.00
_cell_angle_beta 90.00
_cell_angle_gamma 90.00
_symmetry_space_group_name_H-M 'P m -3 n'
_symmetry_Int_Tables_number 223
_symmetry_space_group_name_Hall '-P 4n 2 3'
loop_
_atom_site_label
_atom_site_type_symbol
_atom_site_fract_x
_atom_site_fract_y
_atom_site_fract_z
_atom_site_occupancy
Si1 Si 0.000 0.000 0.000 1
Os1 Os 0.000 0.250 0.500 1
```

Record 4
Si3Os | PBE | relaxed

Summary:
DOS(E_F) = 5.13 states/eV per cell
Magnetization = 0.0 μB per formula unit
E = -77.92 eV for the cell shown
Uncorrected formation energy = 0.3811 eV per atom

Structure (CIF):
```
data_Si3Os
_chemical_formula_sum 'Si9 Os3'
_cell_length_a 7.9455
_cell_length_b 7.9455
_cell_length_c 3.1262
_cell_angle_alpha 90.00
_cell_angle_beta 90.00
_cell_angle_gamma 120.00
_symmetry_space_group_name_H-M 'R -3 m'
_symmetry_Int_Tables_number 166
_symmetry_space_group_name_Hall '-R 3 2"'
loop_
_atom_site_label
_atom_site_type_symbol
_atom_site_fract_x
_atom_site_fract_y
_atom_site_fract_z
_atom_site_occupancy
Si1 Si 0.0000 0.5000 0.0000 1
Os1 Os 0.0000 0.0000 0.0000 1
```

Record 5
SiOs | PBE | relaxed

Summary:
DOS(E_F) = 3.26 states/eV per cell
Magnetization = 0.0 μB per formula unit
E = -69.15 eV for the cell shown
Uncorrected formation energy = -0.3175 eV per atom

Structure (CIF):
```
data_SiOs
_chemical_formula_sum 'Si4 Os4'
_cell_length_a 8.664
_cell_length_b 2.936
_cell_length_c 4.379
_cell_angle_alpha 90.00
_cell_angle_beta 107.05
_cell_angle_gamma 90.00
_symmetry_space_group_name_H-M 'C 1 2/m 1'
_symmetry_Int_Tables_number 12
_symmetry_space_group_name_Hall '-C 2y'
loop_
_atom_site_label
_atom_site_type_symbol
_atom_site_fract_x
_atom_site_fract_y
_atom_site_fract_z
_atom_site_occupancy
Si1 Si 0.123 0.000 0.326 1
Os1 Os 0.122 0.500 0.798 1
```

Record 6
Si5Os | PBE | relaxed

Summary:
DOS(E_F) = 3.99 states/eV per cell
Magnetization = 0.0 μB per formula unit
E = -74.15 eV for the cell shown
Uncorrected formation energy = 0.2117 eV per atom

Structure (CIF):
```
data_Si5Os
_chemical_formula_sum 'Si10 Os2'
_cell_length_a 4.556
_cell_length_b 3.111
_cell_length_c 12.046
_cell_angle_alpha 90.00
_cell_angle_beta 90.00
_cell_angle_gamma 90.00
_symmetry_space_group_name_H-M 'A m m 2'
_symmetry_Int_Tables_number 38
_symmetry_space_group_name_Hall 'A 2 -2'
loop_
_atom_site_label
_atom_site_type_symbol
_atom_site_fract_x
_atom_site_fract_y
_atom_site_fract_z
_atom_site_occupancy
Si1 Si 0.000 0.000 0.000 1
Si2 Si 0.000 0.000 0.324 1
Si3 Si 0.000 0.000 0.662 1
Si4 Si 0.500 0.000 0.090 1
Si5 Si 0.500 0.000 0.417 1
Os1 Os 0.500 0.000 0.751 1
```

Q: What is the E in the second record?
A: -113.83 eV for the cell shown